[1]
VASP calculation (GGA-PBE) on an optimized crystal structure of CuBiSbTe.

Properties
- E (Ry per atom) = -0.2805
- space-group type = No. 166
- Fermi-level density of states (states/eV/f.u.) = 2.36
- formation energy (no corrections) (eV per formula unit) = -0.03
- magnetic moment (μB/f.u.) = 0.0
- volume (Å³/cell) = 236.5

Unit cell a=4.1955 b=4.1955 c=15.6993 alpha=82.32 beta=82.32 gamma=60.00
Sites, in units of the cell vectors:
Cu: 0.8167 0.8167 0.5498
Cu: 0.1833 0.1833 0.4502
Bi: 0.5982 0.5982 0.2053
Bi: 0.4018 0.4018 0.7947
Sb: 0.6977 0.6977 0.9068
Sb: 0.3023 0.3023 0.0932
Te: 0.1274 0.1274 0.6177
Te: 0.8726 0.8726 0.3823


[2]
VASP calculation (GGA-PBE) on an optimized crystal structure of ZnCuBi2Sb.

Properties
- E (Ry per atom) = -0.2014
- space-group type = No. 123
- distance to the lowest polymorph of the same formula (kcal/mol of atoms) = 4.58
- Fermi-level density of states (states/eV/f.u.) = 3.93
- formation energy (no corrections) (eV per formula unit) = 3.55
- magnetic moment (μB/f.u.) = 0.0
- volume (Å³/cell) = 169.2

Unit cell a=6.0191 b=4.6706 c=6.0191 alpha=90.00 beta=90.00 gamma=90.00
Sites, in units of the cell vectors:
Sb: 0.0000 0.0000 0.0000
Zn: 0.5000 0.5000 0.5000
Bi: 0.0000 0.0000 0.5000
Bi: 0.5000 0.0000 0.0000
Cu: 0.0000 0.5000 0.0000


[3]
VASP calculation (GGA-PBE) on an optimized crystal structure of Zn2CuBiSb.

Properties
- E (Ry per atom) = -0.1736
- space-group type = No. 123
- Fermi-level density of states (states/eV/f.u.) = 6.07
- formation energy (no corrections) (eV per formula unit) = 2.84
- magnetic moment (μB/f.u.) = 0.0
- volume (Å³/cell) = 133.8

Unit cell a=5.3109 b=4.7437 c=5.3109 alpha=90.00 beta=90.00 gamma=90.00
Sites, in units of the cell vectors:
Sb: 0.0000 0.0000 0.0000
Zn: 0.0000 0.0000 0.5000
Zn: 0.5000 0.0000 0.0000
Bi: 0.5000 0.5000 0.5000
Cu: 0.0000 0.5000 0.0000


[4]
VASP calculation (GGA-PBE) on an optimized crystal structure of ZnCuBi2Sb.

Properties
- E (Ry per atom) = -0.2160
- space-group type = No. 123
- distance to the lowest polymorph of the same formula (kcal/mol of atoms) = 0.00
- Fermi-level density of states (states/eV/f.u.) = 3.28
- formation energy (no corrections) (eV per formula unit) = 2.56
- magnetic moment (μB/f.u.) = 0.0
- volume (Å³/cell) = 142.8

Unit cell a=5.3582 b=4.9726 c=5.3582 alpha=90.00 beta=90.00 gamma=90.00
Sites, in units of the cell vectors:
Sb: 0.0000 0.5000 0.0000
Zn: 0.5000 0.5000 0.5000
Bi: 0.0000 0.0000 0.5000
Bi: 0.5000 0.0000 0.0000
Cu: 0.0000 0.0000 0.0000


[5]
VASP calculation (GGA-PBE) on an optimized crystal structure of ScCu2Bi2.

Properties
- E (Ry per atom) = -0.3288
- space-group type = No. 139
- ΔH_f (0 K) (meV per atom) = -16
- distance to the lowest polymorph of the same formula (kcal/mol of atoms) = 1.37
- Fermi-level density of states (states/eV/f.u.) = 2.76
- magnetic moment (μB/f.u.) = 0.0
- volume (Å³/cell) = 109.2

Unit cell a=3.7455 b=3.7455 c=8.2212 alpha=76.83 beta=76.83 gamma=90.00
Sites, in units of the cell vectors:
Sc: 0.0000 0.0000 0.0000
Bi: 0.3865 0.3865 0.2271
Bi: 0.6135 0.6135 0.7729
Cu: 0.7500 0.2500 0.5000
Cu: 0.2500 0.7500 0.5000


[6]
VASP calculation (GGA-PBE) on an optimized crystal structure of Sc2CuBi.

Properties
- E (Ry per atom) = -0.4016
- space-group type = No. 123
- ΔH_f (0 K) (meV per atom) = -304
- distance to the lowest polymorph of the same formula (kcal/mol of atoms) = 0.00
- Fermi-level density of states (states/eV/f.u.) = 3.14
- magnetic moment (μB/f.u.) = 1.0
- volume (Å³/cell) = 85.2

Unit cell a=4.0067 b=4.6122 c=4.6122 alpha=90.00 beta=90.00 gamma=90.00
Sites, in units of the cell vectors:
Sc: 0.0000 0.0000 0.5000
Sc: 0.0000 0.5000 0.0000
Bi: 0.5000 0.5000 0.5000
Cu: 0.5000 0.0000 0.0000